DFT (meta-GGA SCAN) results for a PBEsol-optimized structure of GaCoN2O.

Geometry as CIF:
```
data_GaCoN2O
_symmetry_space_group_name_H-M 'P 1'
_symmetry_Int_Tables_number 1
_symmetry_space_group_name_Hall 'P 1'
_cell_length_a 3.827
_cell_length_b 3.827
_cell_length_c 3.571
_cell_angle_alpha 90.00
_cell_angle_beta 90.00
_cell_angle_gamma 90.00
loop_
_atom_site_label
_atom_site_type_symbol
_atom_site_fract_x
_atom_site_fract_y
_atom_site_fract_z
_atom_site_occupancy
Ga1 Ga 0.000 0.000 0.000 1
Co1 Co 0.500 0.500 0.000 1
N1 N 0.000 0.500 0.500 1
N2 N 0.500 0.000 0.500 1
O1 O 0.000 0.000 0.500 1
```

Output
Uncorrected formation energy ... 8.72 eV per formula unit